# 1
The following is a PBE calculation of crystalline K2FeCl at its relaxed geometry, from Alexandria via LeMat-Bulk.

Values from the calculation:
ρ (g/cm3): 2.0
Total magnetization (μB/f.u.): 3.0
DOS(E_F) (states/eV per cell): 3.26
Formation energy from raw total energies (eV per atom): -0.006
Crystal system: orthorhombic
V (A^3/atom): 34.50

abc: 5.8498 5.8498 5.8498
angles: 126.63 114.92 88.97
Each line ends with the local moment (μB).
Fractional positions:
K 0.9813 0.9813 0.0000  -0.01
K 0.5187 0.5187 0.0000  -0.01
Fe 0.2500 0.7500 0.5000  2.90
Cl 0.7500 0.2500 0.5000  0.00

# 2
The following is a PBE calculation of crystalline EuPb3 at its relaxed geometry, from Alexandria via LeMat-Bulk.

Values from the calculation:
ρ (g/cm3): 10.5
Total magnetization (μB/f.u.): 7.1
DOS(E_F) (states/eV per cell): 6.38
Crystal system: tetragonal
Electronic total energy (eV/atom): -5.68
V (A^3/atom): 30.65

abc: 4.8875 4.8875 6.1868
angles: 113.27 113.27 90.00
Each line ends with the local moment (μB).
Fractional positions:
Pb 0.7500 0.2500 0.5000  0.00
Pb 0.2500 0.7500 0.5000  0.00
Pb 0.5000 0.5000 0.0000  0.00
Eu 0.0000 0.0000 0.0000  6.86

# 3
The following is a PBE calculation of crystalline Sr2MnNi2 at its relaxed geometry, from Alexandria via LeMat-Bulk.

Values from the calculation:
ρ (g/cm3): 5.7
Total magnetization (μB/f.u.): 0.0
DOS(E_F) (states/eV per cell): 18.62
Crystal system: tetragonal
Electronic total energy (eV/atom): -4.30
V (A^3/atom): 20.28

abc: 6.4905 6.4905 4.8148
angles: 90.00 90.00 90.00
Fractional positions:
Sr 0.1810 0.6810 0.5000
Sr 0.6810 0.8190 0.5000
Sr 0.8190 0.3190 0.5000
Sr 0.3190 0.1810 0.5000
Mn 0.0000 0.0000 0.0000
Mn 0.5000 0.5000 0.0000
Ni 0.3639 0.8639 0.0000
Ni 0.8639 0.6361 0.0000
Ni 0.6361 0.1361 0.0000
Ni 0.1361 0.3639 0.0000

Q: Which value of total magnetization does entry 3 give?
A: 0.0 μB/f.u.